This record from Alexandria via LeMat-Bulk describes a relaxed Fe2CuP crystal. The functional is PBE.

Calculated values
* energy of formation from the pure elements: 0.02 eV/atom
* E: -26.36 eV per formula unit
* density: 7.71 Mg/m³
* space-group type: No. 123

a b c (Å): 4.043 4.043 2.717
angles (deg): 90.00 90.00 90.01
Atoms (fractional coordinates):
Cu (0.000, 0.500, 0.500)
P (0.500, 0.000, 0.500)
Fe (0.500, 0.500, 0.000)
Fe (0.000, 0.000, 0.000)

***

This record from Alexandria via LeMat-Bulk describes a relaxed SrMo2Pb crystal. The functional is PBE.

Calculated values
* energy of formation from the pure elements: 0.82 eV/atom
* E: -23.78 eV per formula unit
* density: 9.39 Mg/m³
* space-group type: No. 216

a b c (Å): 4.955 4.955 4.955
angles (deg): 119.97 119.97 90.05
Atoms (fractional coordinates):
Mo (0.000, 0.000, 0.000)
Mo (0.250, 0.750, 0.500)
Pb (0.500, 0.500, 0.000)
Sr (0.750, 0.250, 0.500)

***

This record from Alexandria via LeMat-Bulk describes a relaxed Li2SmZnF8 crystal. The functional is PBE.

Calculated values
* E: -58.91 eV per formula unit
* density: 4.21 Mg/m³
* space-group type: No. 2
* formation energy (no corrections): -2.844 eV/atom

a b c (Å): 4.445 4.921 6.881
angles (deg): 89.74 89.97 87.73
Atoms (fractional coordinates):
Zn (0.000, 0.000, 0.000)
F (0.166, 0.770, 0.773)
F (0.390, 0.272, 0.496)
F (0.323, 0.252, 0.000)
F (0.834, 0.231, 0.771)
F (0.834, 0.230, 0.227)
F (0.166, 0.769, 0.229)
F (0.610, 0.728, 0.504)
F (0.677, 0.748, 0.000)
Li (0.504, 0.504, 0.770)
Li (0.496, 0.496, 0.230)
Sm (0.000, 0.000, 0.500)

***

This record from Alexandria via LeMat-Bulk describes a relaxed Ce3PrAs4 crystal. The functional is PBE.

Calculated values
* energy of formation from the pure elements: -1.44 eV/atom
* E: -52.73 eV per formula unit
* density: 6.63 Mg/m³
* energy above the most stable polymorph in this dataset: 0.000 eV/atom
* space-group type: No. 65

a b c (Å): 4.240 7.345 7.345
angles (deg): 109.46 90.00 90.00
Atoms (fractional coordinates):
Ce (0.000, 0.000, 0.500)
Ce (0.500, 0.500, 0.500)
Ce (0.000, 0.500, 0.000)
As (0.500, 0.253, 0.747)
As (0.500, 0.747, 0.253)
As (0.000, 0.256, 0.256)
As (0.000, 0.744, 0.744)
Pr (0.500, 0.000, 0.000)

***

This record from Alexandria via LeMat-Bulk describes a relaxed MgTe2Mo crystal. The functional is PBE.

Calculated values
* E: -17.26 eV per formula unit
* density: 6.39 Mg/m³
* space-group type: No. 65
* formation energy (no corrections): 0.363 eV/atom

a b c (Å): 3.233 3.233 10.375
angles (deg): 90.00 90.00 115.83
Atoms (fractional coordinates):
Te (0.000, 0.000, 0.958)
Te (0.000, 0.000, 0.542)
Mg (0.500, 0.500, 0.250)
Mo (0.500, 0.500, 0.750)

***

This record from Alexandria via LeMat-Bulk describes a relaxed MgPdRh2N crystal. The functional is PBE.

Calculated values
* E: -30.47 eV per formula unit
* density: 8.44 Mg/m³
* energy above the most stable polymorph in this dataset: 0.019 eV/atom
* space-group type: No. 123
* formation energy (no corrections): -0.130 eV/atom

a b c (Å): 3.990 4.332 3.990
angles (deg): 90.00 90.00 90.00
Atoms (fractional coordinates):
Mg (0.000, 0.500, 0.000)
Rh (0.000, 0.000, 0.500)
Rh (0.500, 0.000, 0.000)
N (0.000, 0.000, 0.000)
Pd (0.500, 0.500, 0.500)

***

This record from Alexandria via LeMat-Bulk describes a relaxed CaSiW2 crystal. The functional is PBE.

Calculated values
* E: -31.00 eV per formula unit
* density: 10.35 Mg/m³
* space-group type: No. 123
* formation energy (no corrections): 0.582 eV/atom

a b c (Å): 2.779 2.779 9.050
angles (deg): 90.00 90.00 90.00
Atoms (fractional coordinates):
W (0.000, 0.000, 0.955)
W (0.000, 0.000, 0.545)
Si (0.500, 0.500, 0.750)
Ca (0.500, 0.500, 0.250)

***

This record from Alexandria via LeMat-Bulk describes a relaxed TaCdI2 crystal. The functional is PBE.

Calculated values
* E: -12.83 eV per formula unit
* density: 9.47 Mg/m³
* energy above the most stable polymorph in this dataset: 0.397 eV/atom
* space-group type: No. 225
* formation energy (no corrections): 0.758 eV/atom

a b c (Å): 5.139 5.139 5.139
angles (deg): 60.00 60.00 60.00
Atoms (fractional coordinates):
Cd (0.000, 0.000, 0.000)
Ta (0.500, 0.500, 0.500)
I (0.750, 0.750, 0.750)
I (0.250, 0.250, 0.250)

***

This record from Alexandria via LeMat-Bulk describes a relaxed BeFeOs crystal. The functional is PBE.

Calculated values
* energy of formation from the pure elements: -0.10 eV/atom
* E: -23.70 eV per formula unit
* density: 12.98 Mg/m³
* energy above the most stable polymorph in this dataset: 0.014 eV/atom
* space-group type: No. 65

a b c (Å): 4.904 3.829 3.774
angles (deg): 90.00 90.00 112.97
Atoms (fractional coordinates):
Fe (0.544, 0.122, 0.386)
Fe (0.184, 0.442, 0.386)
Os (0.549, 0.624, 0.886)
Os (0.178, 0.939, 0.886)
Be (0.864, 0.782, 0.386)
Be (0.864, 0.282, 0.886)

***

This record from Alexandria via LeMat-Bulk describes a relaxed VPbS2 crystal. The functional is PBE.

Calculated values
* E: -22.80 eV per formula unit
* density: 5.18 Mg/m³
* space-group type: No. 122
* formation energy (no corrections): -0.429 eV/atom

a b c (Å): 6.364 6.364 6.806
angles (deg): 62.13 62.13 90.00
Atoms (fractional coordinates):
S (0.206, 0.625, 0.250)
S (0.875, 0.794, 0.750)
S (0.375, 0.456, 0.750)
S (0.544, 0.125, 0.250)
Pb (0.750, 0.250, 0.500)
Pb (0.000, 0.000, 0.000)
V (0.250, 0.750, 0.500)
V (0.500, 0.500, 0.000)

***

This record from Alexandria via LeMat-Bulk describes a relaxed LaY2Ho crystal. The functional is PBE.

Calculated values
* energy of formation from the pure elements: 0.01 eV/atom
* E: -22.41 eV per formula unit
* density: 6.04 Mg/m³
* energy above the most stable polymorph in this dataset: 0.004 eV/atom
* space-group type: No. 160

a b c (Å): 3.629 3.629 11.800
angles (deg): 81.15 81.15 60.00
Atoms (fractional coordinates):
Y (0.086, 0.086, 0.743)
Y (0.248, 0.248, 0.257)
Ho (0.500, 0.500, 0.499)
La (0.666, 0.666, 0.001)

***

This record from Alexandria via LeMat-Bulk describes a relaxed BeInRe2 crystal. The functional is PBE.

Calculated values
* energy of formation from the pure elements: 0.65 eV/atom
* E: -28.76 eV per formula unit
* density: 13.48 Mg/m³
* energy above the most stable polymorph in this dataset: 0.564 eV/atom
* space-group type: No. 139

a b c (Å): 5.037 5.037 5.037
angles (deg): 135.87 135.87 64.18
Atoms (fractional coordinates):
Re (0.000, 0.000, 0.000)
Re (0.500, 0.500, 0.000)
Be (0.250, 0.750, 0.500)
In (0.750, 0.250, 0.500)